! CsCoMoF6 (PBE with a Hubbard U, relaxed); values from VASP
! - symmetry = Imma (74)
! - total energy (eV per cell) = -94.15
! - total magnetic moment (μB per atom) = 0.668
&SYSTEM
  ibrav = 0, nat = 18, ntyp = 4
/
ATOMIC_SPECIES
Cs 132.91 Cs.upf
Co 58.93 Co.upf
Mo 95.94 Mo.upf
F 19.00 F.upf
ATOMIC_POSITIONS crystal
Cs 0.846 0.596 0.693
Cs 0.154 0.404 0.307
Co 0.500 0.500 0.000
Co 0.500 0.000 0.000
Mo 0.500 0.000 0.500
Mo 0.000 0.000 0.500
F 0.443 0.693 0.885
F 0.829 0.079 0.658
F 0.821 0.085 0.260
F 0.439 0.675 0.260
F 0.439 0.085 0.260
F 0.821 0.675 0.260
F 0.557 0.307 0.115
F 0.171 0.921 0.342
F 0.179 0.915 0.740
F 0.561 0.325 0.740
F 0.561 0.915 0.740
F 0.179 0.325 0.740
CELL_PARAMETERS angstrom
7.761 0.000 0.000
0.000 7.589 0.000
-3.880 -3.794 5.483